Entry 1:
# ReSiSe2 (meta-GGA SCAN, single point on PBEsol structure)
data_ReSiSe2
_chemical_formula_sum 'Re1 Si1 Se2'
_cell_length_a 3.002
_cell_length_b 4.156
_cell_length_c 6.335
_cell_angle_alpha 109.15
_cell_angle_beta 103.70
_cell_angle_gamma 90.00
_symmetry_space_group_name_H-M 'P 1'
_symmetry_Int_Tables_number 1
loop_
_symmetry_equiv_pos_as_xyz
'x,y,z'
loop_
_atom_site_label
_atom_site_type_symbol
_atom_site_fract_x
_atom_site_fract_y
_atom_site_fract_z
_atom_site_occupancy
Re1 Re 0.733 0.233 0.466 1
Se1 Se 0.060 0.060 0.120 1
Se2 Se 0.283 0.783 0.566 1
Si1 Si 0.424 0.424 0.848 1
# Formation energy (no corrections), meV/atom: 512
# D(E_F), states/eV/cell: 2.05

---

Entry 2:
# LiGa2Ir (meta-GGA SCAN, single point on PBEsol structure)
data_LiGa2Ir
_chemical_formula_sum 'Li1 Ga2 Ir1'
_cell_length_a 4.254
_cell_length_b 4.254
_cell_length_c 4.254
_cell_angle_alpha 60.00
_cell_angle_beta 60.00
_cell_angle_gamma 60.00
_symmetry_space_group_name_H-M 'P 1'
_symmetry_Int_Tables_number 1
loop_
_symmetry_equiv_pos_as_xyz
'x,y,z'
loop_
_atom_site_label
_atom_site_type_symbol
_atom_site_fract_x
_atom_site_fract_y
_atom_site_fract_z
_atom_site_occupancy
Ir1 Ir 0.500 0.500 0.500 1
Ga1 Ga 0.250 0.250 0.250 1
Ga2 Ga 0.750 0.750 0.750 1
Li1 Li 0.000 0.000 0.000 1
# Formation energy, eV/f.u.: -2.44
# D(E_F), states/eV/cell: 1.30

---

Entry 3:
# Li3VSiBO7 (meta-GGA SCAN, single point on PBEsol structure)
data_Li3VSiBO7
_chemical_formula_sum 'Li6 V2 Si2 B2 O14'
_cell_length_a 5.065
_cell_length_b 6.256
_cell_length_c 8.233
_cell_angle_alpha 90.00
_cell_angle_beta 95.84
_cell_angle_gamma 90.00
_symmetry_space_group_name_H-M 'P 1'
_symmetry_Int_Tables_number 1
loop_
_symmetry_equiv_pos_as_xyz
'x,y,z'
loop_
_atom_site_label
_atom_site_type_symbol
_atom_site_fract_x
_atom_site_fract_y
_atom_site_fract_z
_atom_site_occupancy
Li1 Li 0.266 0.250 0.899 1
Li2 Li 0.734 0.750 0.101 1
Li3 Li 0.762 0.997 0.753 1
Li4 Li 0.762 0.503 0.753 1
Li5 Li 0.238 0.497 0.247 1
Li6 Li 0.238 0.003 0.247 1
V1 V 0.295 0.750 0.686 1
V2 V 0.705 0.250 0.314 1
Si1 Si 0.228 0.250 0.573 1
Si2 Si 0.772 0.750 0.427 1
B1 B 0.202 0.750 0.966 1
B2 B 0.798 0.250 0.034 1
O1 O 0.869 0.250 0.881 1
O2 O 0.131 0.750 0.119 1
O3 O 0.459 0.750 0.919 1
O4 O 0.541 0.250 0.081 1
O5 O 0.013 0.750 0.828 1
O6 O 0.987 0.250 0.172 1
O7 O 0.907 0.250 0.521 1
O8 O 0.093 0.750 0.479 1
O9 O 0.627 0.750 0.593 1
O10 O 0.373 0.250 0.407 1
O11 O 0.316 0.051 0.696 1
O12 O 0.316 0.449 0.696 1
O13 O 0.684 0.551 0.304 1
O14 O 0.684 0.949 0.304 1
# Formation energy (no corrections), meV/atom: -2609

---

Entry 4:
# Mg14TiMnO16 (meta-GGA SCAN, single point on PBEsol structure)
data_Mg14TiMnO16
_chemical_formula_sum 'Mg14 Ti1 Mn1 O16'
_cell_length_a 4.225
_cell_length_b 8.517
_cell_length_c 8.498
_cell_angle_alpha 90.00
_cell_angle_beta 90.00
_cell_angle_gamma 90.00
_symmetry_space_group_name_H-M 'P 1'
_symmetry_Int_Tables_number 1
loop_
_symmetry_equiv_pos_as_xyz
'x,y,z'
loop_
_atom_site_label
_atom_site_type_symbol
_atom_site_fract_x
_atom_site_fract_y
_atom_site_fract_z
_atom_site_occupancy
Mg1 Mg 0.000 0.000 0.500 1
Mg2 Mg 0.000 0.500 0.500 1
Mg3 Mg 0.500 0.753 0.000 1
Mg4 Mg 0.500 0.247 0.000 1
Mg5 Mg 0.500 0.750 0.500 1
Mg6 Mg 0.500 0.250 0.500 1
Mg7 Mg 0.500 0.000 0.749 1
Mg8 Mg 0.500 0.500 0.748 1
Mg9 Mg 0.500 0.000 0.251 1
Mg10 Mg 0.500 0.500 0.252 1
Mg11 Mg 0.000 0.751 0.749 1
Mg12 Mg 0.000 0.249 0.749 1
Mg13 Mg 0.000 0.751 0.251 1
Mg14 Mg 0.000 0.249 0.251 1
Ti1 Ti 0.000 0.500 0.000 1
Mn1 Mn 0.000 0.000 0.000 1
O1 O 0.000 0.000 0.742 1
O2 O 0.000 0.500 0.745 1
O3 O 0.000 0.000 0.258 1
O4 O 0.000 0.500 0.255 1
O5 O 0.500 0.750 0.751 1
O6 O 0.500 0.250 0.751 1
O7 O 0.500 0.750 0.249 1
O8 O 0.500 0.250 0.249 1
O9 O 0.500 0.000 0.000 1
O10 O 0.500 0.500 0.000 1
O11 O 0.500 0.000 0.500 1
O12 O 0.500 0.500 0.500 1
O13 O 0.000 0.747 0.000 1
O14 O 0.000 0.253 0.000 1
O15 O 0.000 0.749 0.500 1
O16 O 0.000 0.251 0.500 1
# Formation energy (no corrections), meV/atom: -2878
# D(E_F), states/eV/cell: 1.72
# Excess energy over the best structure of this formula in the dataset, meV/atom: 4

---

Entry 5:
# NdGaCo4 (meta-GGA SCAN, single point on PBEsol structure)
data_NdGaCo4
_chemical_formula_sum 'Nd1 Ga1 Co4'
_cell_length_a 3.811
_cell_length_b 5.053
_cell_length_c 5.053
_cell_angle_alpha 120.00
_cell_angle_beta 90.00
_cell_angle_gamma 90.00
_symmetry_space_group_name_H-M 'P 1'
_symmetry_Int_Tables_number 1
loop_
_symmetry_equiv_pos_as_xyz
'x,y,z'
loop_
_atom_site_label
_atom_site_type_symbol
_atom_site_fract_x
_atom_site_fract_y
_atom_site_fract_z
_atom_site_occupancy
Co1 Co 0.000 0.333 0.667 1
Co2 Co 0.500 0.495 0.505 1
Co3 Co 0.500 0.010 0.505 1
Co4 Co 0.500 0.495 0.990 1
Nd1 Nd 0.000 0.000 0.000 1
Ga1 Ga 0.000 0.667 0.333 1
# Formation energy, eV/f.u.: -0.74
# D(E_F), states/eV/cell: 4.46
# Excess energy over the best structure of this formula in the dataset, meV/atom: 27

---

Entry 6:
# Ca2Re2P (meta-GGA SCAN, single point on PBEsol structure)
data_Ca2Re2P
_chemical_formula_sum 'Ca2 Re2 P1'
_cell_length_a 3.492
_cell_length_b 3.492
_cell_length_c 9.250
_cell_angle_alpha 100.88
_cell_angle_beta 100.88
_cell_angle_gamma 90.00
_symmetry_space_group_name_H-M 'P 1'
_symmetry_Int_Tables_number 1
loop_
_symmetry_equiv_pos_as_xyz
'x,y,z'
loop_
_atom_site_label
_atom_site_type_symbol
_atom_site_fract_x
_atom_site_fract_y
_atom_site_fract_z
_atom_site_occupancy
Ca1 Ca 0.596 0.596 0.192 1
Ca2 Ca 0.404 0.404 0.808 1
P1 P 0.000 0.000 0.000 1
Re1 Re 0.250 0.750 0.500 1
Re2 Re 0.750 0.250 0.500 1
# Formation energy, eV/f.u.: -0.29
# D(E_F), states/eV/cell: 2.95

---

| no. | calculated total energy (eV per atom) |
| --- | --- |
| 1 | -29.81 |
| 2 | -27.16 |
| 3 | -9.20 |
| 4 | -9.24 |
| 5 | -21.65 |
| 6 | -34.44 |